# 1
{
  "formula": "RbNa2SnN",
  "functional": "PBE-GGA",
  "state": "optimized geometry",
  "lattice": [[5.9265, 0.0000, 0.0000], [0.0000, 5.9265, 0.0000], [0.0000, 0.0000, 6.2362]],
  "species": ["Rb", "Na", "Na", "Sn", "N"],
  "fractional_positions": [[0.0000, 0.0000, 0.0000], [0.0000, 0.5000, 0.0000], [0.5000, 0.0000, 0.0000], [0.0000, 0.0000, 0.5000], [0.5000, 0.5000, 0.5000]],
  "n_ef_per_ev_fu": 5.56,
  "raw_formation_energy_ev_per_atom": 1.874,
  "m_tot_mub_per_fu": 0.0,
  "space_group": "P4/mmm",
  "dft_energy_ev_per_cell": -6.56
}

# 2
{
  "formula": "RbNaTcN2",
  "functional": "PBE-GGA",
  "state": "optimized geometry",
  "lattice": [[6.1416, -1.7560, 0.0000], [6.1416, 1.7560, 0.0000], [-3.8845, 0.0000, 9.1369]],
  "species": ["Rb", "Rb", "Na", "Na", "Tc", "Tc", "N", "N", "N", "N"],
  "fractional_positions": [[0.1598, 0.1598, 0.1144], [0.8402, 0.8402, 0.8856], [0.1447, 0.1447, 0.5340], [0.8553, 0.8553, 0.4660], [0.4760, 0.4760, 0.2674], [0.5240, 0.5240, 0.7326], [0.0943, 0.0943, 0.7703], [0.3712, 0.3712, 0.6559], [0.6288, 0.6288, 0.3441], [0.9057, 0.9057, 0.2297]],
  "n_ef_per_ev_fu": 1.00,
  "raw_formation_energy_ev_per_atom": -0.102,
  "m_tot_mub_per_fu": 0.0,
  "space_group": "C2/m",
  "dft_energy_ev_per_cell": -59.63
}

# 3
{
  "formula": "RbNaTe2N",
  "functional": "PBE-GGA",
  "state": "optimized geometry",
  "lattice": [[6.7185, 0.0000, 0.0000], [0.0000, 6.7185, 0.0000], [0.0000, 0.0000, 5.4062]],
  "species": ["Rb", "Na", "Te", "Te", "N"],
  "fractional_positions": [[0.0000, 0.0000, 0.0000], [0.5000, 0.5000, 0.5000], [0.0000, 0.5000, 0.0000], [0.5000, 0.0000, 0.0000], [0.0000, 0.0000, 0.5000]],
  "n_ef_per_ev_fu": 5.22,
  "raw_formation_energy_ev_per_atom": 1.018,
  "m_tot_mub_per_fu": 5.0,
  "space_group": "P4/mmm",
  "dft_energy_ev_per_cell": -11.81
}

# 4
{
  "formula": "RbNaTe2N",
  "functional": "PBE-GGA",
  "state": "optimized geometry",
  "lattice": [[5.7404, 0.0000, 0.0000], [0.0000, 5.7404, 0.0000], [0.0000, 0.0000, 5.3055]],
  "species": ["Rb", "Na", "Te", "Te", "N"],
  "fractional_positions": [[0.0000, 0.0000, 0.0000], [0.5000, 0.5000, 0.5000], [0.0000, 0.5000, 0.5000], [0.5000, 0.0000, 0.5000], [0.5000, 0.5000, 0.0000]],
  "n_ef_per_ev_fu": 2.65,
  "raw_formation_energy_ev_per_atom": 0.612,
  "m_tot_mub_per_fu": 3.1,
  "space_group": "P4/mmm",
  "dft_energy_ev_per_cell": -13.83
}